1.
Density functional theory data (PBE-GGA) for a relaxed NbV4Ir5 crystal.

Lattice parameters (Å, degrees): 2.7867 2.7867 18.5009 90.00 90.00 90.00
With the nearest neighbours (Å) after each atom.
Space group P4/mmm (No. 123)
One atom of each set of equivalent atoms:
Nb: 0.0000 0.0000 0.0000  4 Nb 2.79, 8 Ir 2.85
V: 0.0000 0.0000 0.2058  8 Ir 2.63-2.68, 4 V 2.79
V: 0.0000 0.0000 0.4018  8 Ir 2.67-2.68, 4 V 2.79
Ir: 0.5000 0.5000 0.1113  4 V 2.63, 4 Ir 2.79, 4 Nb 2.85
Ir: 0.5000 0.5000 0.3041  8 V 2.67-2.68, 4 Ir 2.79
Ir: 0.5000 0.5000 0.5000  8 V 2.68, 4 Ir 2.79

For the energy of formation from the pure elements, the calculation gives -0.503 eV per atom.

---

2.
Density functional theory data (PBE-GGA) for a relaxed SmRe3Si3 crystal.

Lattice parameters (Å, degrees): 6.6186 6.6186 6.6186 90.00 90.00 90.00
With the nearest neighbours (Å) after each atom.
Space group Pm-3n (No. 223)
One atom of each set of equivalent atoms:
Sm: 0.0000 0.0000 0.0000  12 Re 3.70, 12 Si 3.70
Re: 0.0000 0.2500 0.5000  4 Si 2.34
Si: 0.0000 0.5000 0.2500  4 Re 2.34

The calculation puts the final energy at -110.96 eV/cell.

---

3.
Density functional theory data (PBE-GGA) for a relaxed Be2PdC crystal.

Lattice parameters (Å, degrees): 3.9776 3.9776 10.8045 90.00 90.00 90.00
With the nearest neighbours (Å) after each atom.
Space group I-42d (No. 122)
One atom of each set of equivalent atoms:
Be: 0.0793 0.7500 0.1250  2 C 1.71
Pd: 0.0000 0.0000 0.5000  4 Be 2.37
C: 0.0000 0.0000 0.0000  4 Be 1.71

For the energy of formation from the pure elements, the calculation gives 0.376 eV per atom.

---

4.
Density functional theory data (PBE-GGA) for a relaxed Ta2ReGeBr crystal.

Lattice parameters (Å, degrees): 4.8767 4.8767 4.7510 90.00 90.00 90.00
With the nearest neighbours (Å) after each atom.
Space group P4/mmm (No. 123)
One atom of each set of equivalent atoms:
Ta: 0.0000 0.5000 0.0000  2 Ge 2.44
Re: 0.0000 0.0000 0.5000  8 Ta 3.40, 4 Br 3.45
Ge: 0.5000 0.5000 0.0000  2 Br 2.38, 4 Ta 2.44
Br: 0.5000 0.5000 0.5000  2 Ge 2.38

The calculation puts the final energy at -32.14 eV/cell.

---

5.
Density functional theory data (PBE-GGA) for a relaxed K2AcPb2O4 crystal.

Lattice parameters (Å, degrees): 13.0803 3.7504 9.3963 90.00 111.68 90.00
With the nearest neighbours (Å) after each atom.
Space group C2/m (No. 12)
One atom of each set of equivalent atoms:
K: 0.1867 0.0000 0.2678  4 O 2.83-2.88
Ac: 0.0000 0.0000 0.5000  6 O 2.52-2.53
Pb: 0.0941 0.5000 0.8605  3 O 2.32-2.41
O: 0.0591 0.5000 0.3662  1 Pb 2.32, 2 Ac 2.53
O: 0.1576 0.0000 0.7552  2 Pb 2.41, 1 Ac 2.52

The calculation puts the final energy at -97.01 eV/cell.

---

6.
Density functional theory data (PBE-GGA) for a relaxed Hf3TaAs crystal.

Lattice parameters (Å, degrees): 4.8858 4.8858 4.8858 90.00 90.00 90.00
With the nearest neighbours (Å) after each atom.
Space group Pm-3m (No. 221)
One atom of each set of equivalent atoms:
Hf: 0.0000 0.0000 0.5000  2 As 2.44
Ta: 0.5000 0.5000 0.5000  12 Hf 3.45
As: 0.0000 0.0000 0.0000  6 Hf 2.44

For the energy of formation from the pure elements, the calculation gives 0.376 eV per atom.